This record from Alexandria via LeMat-Bulk describes Pr8C8Cl5 after structural relaxation. The functional is PBEsol.

Formation energy (no corrections) ... -0.98 eV per atom
Symmetry ... P2_1/c (14)

a b c (Å): 7.5978 16.7084 6.7629
angles (deg): 90.00 104.24 90.00
With the nearest neighbours (Å) after each atom.
Sites, in units of the cell vectors:
Pr1 0.0728 0.1958 0.1301  6 C 2.59-2.74
Pr2 0.0728 0.3042 0.6301  6 C 2.59-2.74
Pr3 0.1528 0.0700 0.6253  3 C 2.40-2.65
Pr4 0.1528 0.4300 0.1253  3 C 2.40-2.65
Pr5 0.2290 0.5498 0.6171  3 C 2.40-2.63
Pr6 0.2290 0.9502 0.1171  3 C 2.40-2.63
Pr7 0.3086 0.6724 0.1039  3 C 2.40-2.64
Pr8 0.3086 0.8276 0.6039  3 C 2.40-2.64
Pr9 0.6914 0.1724 0.3961  3 C 2.40-2.64
Pr10 0.6914 0.3276 0.8961  3 C 2.40-2.64
Pr11 0.7710 0.0498 0.8829  3 C 2.40-2.63
Pr12 0.7710 0.4502 0.3829  3 C 2.40-2.63
Pr13 0.8472 0.5700 0.8747  3 C 2.40-2.65
Pr14 0.8472 0.9300 0.3747  3 C 2.40-2.65
Pr15 0.9272 0.6958 0.3699  6 C 2.59-2.74
Pr16 0.9272 0.8042 0.8699  6 C 2.59-2.74
C1 0.0229 0.0394 0.2238  1 C 1.35
C2 0.0229 0.4606 0.7238  1 C 1.35
C3 0.0498 0.6603 0.7641  1 C 1.35
C4 0.0498 0.8397 0.2641  1 C 1.35
C5 0.1025 0.5852 0.2198  1 C 1.35
C6 0.1025 0.9148 0.7198  1 C 1.35
C7 0.1631 0.7150 0.7153  1 C 1.35
C8 0.1631 0.7850 0.2153  1 C 1.35
C9 0.8369 0.2150 0.7847  1 C 1.35
C10 0.8369 0.2850 0.2847  1 C 1.35
C11 0.8975 0.0852 0.2802  1 C 1.35
C12 0.8975 0.4148 0.7802  1 C 1.35
C13 0.9502 0.1603 0.7359  1 C 1.35
C14 0.9502 0.3397 0.2359  1 C 1.35
C15 0.9771 0.5394 0.2762  1 C 1.35
C16 0.9771 0.9606 0.7762  1 C 1.35
Cl1 0.3486 0.2041 0.5215  4 Pr 2.87-2.98
Cl2 0.3486 0.2959 0.0215  4 Pr 2.87-2.98
Cl3 0.4130 0.0972 0.0213  5 Pr 2.95-3.30
Cl4 0.4130 0.4028 0.5213  5 Pr 2.95-3.30
Cl5 0.5000 0.0000 0.5000  4 Pr 3.00-3.18
Cl6 0.5000 0.5000 0.0000  4 Pr 3.00-3.18
Cl7 0.5870 0.5972 0.4787  5 Pr 2.95-3.30
Cl8 0.5870 0.9028 0.9787  5 Pr 2.95-3.30
Cl9 0.6514 0.7041 0.9785  4 Pr 2.87-2.98
Cl10 0.6514 0.7959 0.4785  4 Pr 2.87-2.98



This record from Alexandria via LeMat-Bulk describes Zr2Tc after structural relaxation. The functional is PBEsol.

DFT formation energy ... -0.19 eV per atom
Energy relative to the lowest polymorph listed for this composition ... 0.0729 eV per atom
Symmetry ... Fd-3m (227)

a b c (Å): 8.6855 8.6855 8.6855
angles (deg): 60.00 60.00 60.00
With the nearest neighbours (Å) after each atom.
Sites, in units of the cell vectors:
Zr1 0.0000 0.0000 0.0000  6 Tc 2.68
Zr2 0.0000 0.0000 0.5000  6 Tc 2.68
Zr3 0.0000 0.5000 0.0000  6 Tc 2.68
Zr4 0.1875 0.1875 0.5625  4 Tc 2.86-3.16, 2 Zr 3.16
Zr5 0.1875 0.5625 0.1875  4 Tc 2.86-3.16, 2 Zr 3.16
Zr6 0.1875 0.5625 0.5625  4 Tc 2.86-3.16, 2 Zr 3.16
Zr7 0.4375 0.4375 0.8125  4 Tc 2.86-3.16, 2 Zr 3.16
Zr8 0.4375 0.8125 0.4375  4 Tc 2.86-3.16, 2 Zr 3.16
Zr9 0.4375 0.8125 0.8125  4 Tc 2.86-3.16, 2 Zr 3.16
Zr10 0.5000 0.0000 0.0000  6 Tc 2.68
Zr11 0.5625 0.1875 0.1875  4 Tc 2.86-3.16, 2 Zr 3.16
Zr12 0.5625 0.1875 0.5625  4 Tc 2.86-3.16, 2 Zr 3.16
Zr13 0.5625 0.5625 0.1875  4 Tc 2.86-3.16, 2 Zr 3.16
Zr14 0.8125 0.4375 0.4375  4 Tc 2.86-3.16, 2 Zr 3.16
Zr15 0.8125 0.4375 0.8125  4 Tc 2.86-3.16, 2 Zr 3.16
Zr16 0.8125 0.8125 0.4375  4 Tc 2.86-3.16, 2 Zr 3.16
Tc1 0.1328 0.7891 0.7891  6 Zr 2.68-2.86, 3 Tc 2.99
Tc2 0.2109 0.2109 0.2109  6 Zr 2.68-2.86, 3 Tc 2.99
Tc3 0.2109 0.2109 0.8672  6 Zr 2.68-2.86, 3 Tc 2.99
Tc4 0.2109 0.8672 0.2109  6 Zr 2.68-2.86, 3 Tc 2.99
Tc5 0.7891 0.1328 0.7891  6 Zr 2.68-2.86, 3 Tc 2.99
Tc6 0.7891 0.7891 0.1328  6 Zr 2.68-2.86, 3 Tc 2.99
Tc7 0.7891 0.7891 0.7891  6 Zr 2.68-2.86, 3 Tc 2.99
Tc8 0.8672 0.2109 0.2109  6 Zr 2.68-2.86, 3 Tc 2.99



This record from Alexandria via LeMat-Bulk describes TbAl3 after structural relaxation. The functional is PBEsol.

DFT formation energy ... -0.44 eV per atom
Symmetry ... Pm-3m (221)

a b c (Å): 4.2261 4.2261 4.2261
angles (deg): 90.00 90.00 90.00
With the nearest neighbours (Å) after each atom.
Sites, in units of the cell vectors:
Tb1 0.0000 0.0000 0.0000  12 Al 2.99
Al1 0.0000 0.5000 0.5000  4 Tb 2.99, 8 Al 2.99
Al2 0.5000 0.0000 0.5000  4 Tb 2.99, 8 Al 2.99
Al3 0.5000 0.5000 0.0000  4 Tb 2.99, 8 Al 2.99



This record from Alexandria via LeMat-Bulk describes TbSiRh after structural relaxation. The functional is PBEsol.

Formation energy (no corrections) ... -1.08 eV per atom
Symmetry ... Pnma (62)

a b c (Å): 6.8874 4.2338 7.2164
angles (deg): 90.00 90.00 90.00
With the nearest neighbours (Å) after each atom.
Sites, in units of the cell vectors:
Tb1 0.0055 0.2500 0.1862  4 Rh 2.93-3.00, 5 Si 2.96-2.98
Tb2 0.4945 0.7500 0.6862  4 Rh 2.93-3.00, 5 Si 2.96-2.98
Tb3 0.5055 0.2500 0.3138  4 Rh 2.93-3.00, 5 Si 2.96-2.98
Tb4 0.9945 0.7500 0.8138  4 Rh 2.93-3.00, 5 Si 2.96-2.98
Si1 0.2014 0.2500 0.6052  4 Rh 2.45-2.55
Si2 0.2986 0.7500 0.1052  4 Rh 2.45-2.55
Si3 0.7014 0.2500 0.8948  4 Rh 2.45-2.55
Si4 0.7986 0.7500 0.3948  4 Rh 2.45-2.55
Rh1 0.1520 0.7500 0.4292  4 Si 2.45-2.55
Rh2 0.3480 0.2500 0.9292  4 Si 2.45-2.55
Rh3 0.6520 0.7500 0.0708  4 Si 2.45-2.55
Rh4 0.8480 0.2500 0.5708  4 Si 2.45-2.55



This record from Alexandria via LeMat-Bulk describes Sc2TlPb after structural relaxation. The functional is PBEsol.

DFT formation energy ... -0.40 eV per atom
Energy relative to the lowest polymorph listed for this composition ... 0.0000 eV per atom
Symmetry ... Imm2 (44)

a b c (Å): 5.9850 5.9850 5.9850
angles (deg): 140.74 136.63 59.92
With the nearest neighbours (Å) after each atom.
Sites, in units of the cell vectors:
Sc1 0.0000 0.0000 0.0000  4 Pb 2.99, 2 Sc 3.28, 2 Tl 3.30
Sc2 0.7503 0.2503 0.5000  4 Tl 2.99, 2 Sc 3.28, 2 Pb 3.32
Tl1 0.2520 0.7520 0.5000  6 Sc 2.99-3.30, 2 Pb 3.23
Pb1 0.4952 0.4952 0.0000  6 Sc 2.99-3.32, 2 Tl 3.23



This record from Alexandria via LeMat-Bulk describes TcRu2Se after structural relaxation. The functional is PBEsol.

Formation energy (no corrections) ... 0.47 eV per atom
Symmetry ... P4/mmm (123)

a b c (Å): 4.4839 4.4839 2.8317
angles (deg): 90.00 90.00 90.00
With the nearest neighbours (Å) after each atom.
Sites, in units of the cell vectors:
Tc1 0.0000 0.0000 0.0000  8 Ru 2.65, 2 Tc 2.83
Ru1 0.0000 0.5000 0.5000  4 Se 2.65, 4 Tc 2.65, 2 Ru 2.83
Ru2 0.5000 0.0000 0.5000  4 Se 2.65, 4 Tc 2.65, 2 Ru 2.83
Se1 0.5000 0.5000 0.0000  8 Ru 2.65, 2 Se 2.83



This record from Alexandria via LeMat-Bulk describes Mg24Zr5 after structural relaxation. The functional is PBEsol.

DFT formation energy ... 0.07 eV per atom
Symmetry ... I-43m (217)

a b c (Å): 9.3797 9.3797 9.3797
angles (deg): 109.47 109.47 109.47
With the nearest neighbours (Å) after each atom.
Sites, in units of the cell vectors:
Mg1 0.0000 0.3148 0.6072  11 Mg 2.95-3.29, 1 Zr 3.09
Mg2 0.0000 0.6072 0.3148  11 Mg 2.95-3.29, 1 Zr 3.09
Mg3 0.0000 0.6316 0.8113  6 Mg 2.75-3.02
Mg4 0.0000 0.8113 0.6316  6 Mg 2.75-3.02
Mg5 0.1797 0.3684 0.3684  6 Mg 2.75-3.02
Mg6 0.1887 0.1887 0.8203  6 Mg 2.75-3.02
Mg7 0.1887 0.8203 0.1887  6 Mg 2.75-3.02
Mg8 0.2925 0.6852 0.6852  11 Mg 2.95-3.29, 1 Zr 3.09
Mg9 0.3148 0.0000 0.6072  11 Mg 2.95-3.29, 1 Zr 3.09
Mg10 0.3148 0.6072 0.0000  11 Mg 2.95-3.29, 1 Zr 3.09
Mg11 0.3684 0.1797 0.3684  6 Mg 2.75-3.02
Mg12 0.3684 0.3684 0.1797  6 Mg 2.75-3.02
Mg13 0.3928 0.3928 0.7075  11 Mg 2.95-3.29, 1 Zr 3.09
Mg14 0.3928 0.7075 0.3928  11 Mg 2.95-3.29, 1 Zr 3.09
Mg15 0.6072 0.0000 0.3148  11 Mg 2.95-3.29, 1 Zr 3.09
Mg16 0.6072 0.3148 0.0000  11 Mg 2.95-3.29, 1 Zr 3.09
Mg17 0.6316 0.0000 0.8113  6 Mg 2.75-3.02
Mg18 0.6316 0.8113 0.0000  6 Mg 2.75-3.02
Mg19 0.6852 0.2925 0.6852  11 Mg 2.95-3.29, 1 Zr 3.09
Mg20 0.6852 0.6852 0.2925  11 Mg 2.95-3.29, 1 Zr 3.09
Mg21 0.7075 0.3928 0.3928  11 Mg 2.95-3.29, 1 Zr 3.09
Mg22 0.8113 0.0000 0.6316  6 Mg 2.75-3.02
Mg23 0.8113 0.6316 0.0000  6 Mg 2.75-3.02
Mg24 0.8203 0.1887 0.1887  6 Mg 2.75-3.02
Zr1 0.0000 0.0000 0.0000  12 Mg 3.32, 4 Zr 3.38
Zr2 0.0000 0.0000 0.3602  9 Mg 3.09-3.26, 1 Zr 3.38
Zr3 0.0000 0.3602 0.0000  9 Mg 3.09-3.26, 1 Zr 3.38
Zr4 0.3602 0.0000 0.0000  9 Mg 3.09-3.26, 1 Zr 3.38
Zr5 0.6398 0.6398 0.6398  9 Mg 3.09-3.26, 1 Zr 3.38



This record from Alexandria via LeMat-Bulk describes Er3FeSi3 after structural relaxation. The functional is PBEsol.

Formation energy (no corrections) ... -0.82 eV per atom
Symmetry ... C2/m (12)

a b c (Å): 5.5279 5.5279 13.2325
angles (deg): 109.63 109.63 43.34
With the nearest neighbours (Å) after each atom.
Sites, in units of the cell vectors:
Er1 0.0236 0.0236 0.3794  6 Si 2.83-3.07, 4 Fe 2.88-3.05
Er2 0.1005 0.1005 0.9188  7 Si 2.88-3.03
Er3 0.2499 0.2499 0.2299  6 Si 2.80-3.09
Er4 0.7501 0.7501 0.7701  6 Si 2.80-3.09
Er5 0.8995 0.8995 0.0812  7 Si 2.88-3.03
Er6 0.9764 0.9764 0.6206  6 Si 2.83-3.07, 4 Fe 2.88-3.05
Fe1 0.2527 0.2527 0.5841  4 Si 2.30-2.42
Fe2 0.7473 0.7473 0.4159  4 Si 2.30-2.42
Si1 0.3563 0.3563 0.4568  3 Fe 2.30
Si2 0.3856 0.3856 0.9246  2 Si 2.47-2.49
Si3 0.4435 0.4435 0.7571  1 Fe 2.42, 1 Si 2.49
Si4 0.5565 0.5565 0.2429  1 Fe 2.42, 1 Si 2.49
Si5 0.6144 0.6144 0.0754  2 Si 2.47-2.49
Si6 0.6437 0.6437 0.5432  3 Fe 2.30